Compound: PuPaRh2
Source: the Alexandria database
Functional: PBE-GGA
Structure: relaxed

a b c (Å): 7.7142 7.1005 7.3183
angles (deg): 90.00 90.00 90.00
Last column: magnetic moment on the atom in μB.
Fractional coordinates of all 16 atoms:
Pa  0.5000  0.7500  0.7656  -0.25
Pu  0.5000  0.7500  0.2353  -5.05
Rh  0.5000  0.0000  0.5000  0.13
Rh  0.2573  0.2500  0.0216  0.05
Pu  0.0000  0.7500  0.3132  5.41
Rh  0.7427  0.7500  0.9784  0.05
Rh  0.0000  0.5000  0.0000  -0.11
Pa  0.0000  0.7500  0.7049  0.85
Rh  0.2573  0.7500  0.9784  0.05
Pu  0.5000  0.2500  0.7647  -5.05
Pa  0.0000  0.2500  0.2951  0.85
Pa  0.5000  0.2500  0.2344  -0.25
Pu  0.0000  0.2500  0.6868  5.41
Rh  0.0000  0.0000  0.0000  -0.11
Rh  0.7427  0.2500  0.0216  0.05
Rh  0.5000  0.5000  0.5000  0.13

Summary:
**Energy relative to the elements**: 1 meV per atom
**E_tot**: -9.631 eV/atom
**Symmetry**: No. 51